Here is a relaxed structure of ScGaCoAg from OQMD. Energies are from PBE-GGA.

Lattice parameters (Å, degrees): 6.3532 6.3532 6.3532 90.00 90.00 90.00
Fractional positions:
1 Sc 0.0000 0.0000 0.0000
2 Sc 0.0000 0.5000 0.5000
3 Sc 0.5000 0.0000 0.5000
4 Sc 0.5000 0.5000 0.0000
5 Ga 0.2500 0.2500 0.2500
6 Ga 0.2500 0.7500 0.7500
7 Ga 0.7500 0.2500 0.7500
8 Ga 0.7500 0.7500 0.2500
9 Co 0.0000 0.0000 0.5000
10 Co 0.0000 0.5000 0.0000
11 Co 0.5000 0.0000 0.0000
12 Co 0.5000 0.5000 0.5000
13 Ag 0.2500 0.2500 0.7500
14 Ag 0.2500 0.7500 0.2500
15 Ag 0.7500 0.2500 0.2500
16 Ag 0.7500 0.7500 0.7500

Summary:
calculated volume = 16.03 A^3/atom
space-group type = F-43m, No. 216
total energy = -4.950 eV/atom
calculated density = 7.3 g/cm³

Here is a relaxed structure of PaPbW from OQMD. Energies are from PBE-GGA.

Lattice parameters (Å, degrees): 6.9359 6.9359 6.9359 90.00 90.00 90.00
Fractional positions:
1 Pa 0.0000 0.0000 0.0000
2 Pa 0.0000 0.5000 0.5000
3 Pa 0.5000 0.0000 0.5000
4 Pa 0.5000 0.5000 0.0000
5 Pb 0.2500 0.2500 0.7500
6 Pb 0.2500 0.7500 0.2500
7 Pb 0.7500 0.2500 0.2500
8 Pb 0.7500 0.7500 0.7500
9 W 0.2500 0.2500 0.2500
10 W 0.2500 0.7500 0.7500
11 W 0.7500 0.2500 0.7500
12 W 0.7500 0.7500 0.2500

Summary:
calculated volume = 27.81 A^3/atom
space-group type = F-43m, No. 216
total energy = -7.281 eV/atom
calculated density = 12.4 g/cm³

Here is a relaxed structure of LaErTc from OQMD. Energies are from PBE-GGA.

Lattice parameters (Å, degrees): 6.7326 6.7326 6.7326 90.00 90.00 90.00
Fractional positions:
1 La 0.0000 0.0000 0.0000
2 La 0.0000 0.5000 0.5000
3 La 0.5000 0.0000 0.5000
4 La 0.5000 0.5000 0.0000
5 Er 0.2500 0.2500 0.7500
6 Er 0.2500 0.7500 0.2500
7 Er 0.7500 0.2500 0.2500
8 Er 0.7500 0.7500 0.7500
9 Tc 0.2500 0.2500 0.2500
10 Tc 0.2500 0.7500 0.7500
11 Tc 0.7500 0.2500 0.7500
12 Tc 0.7500 0.7500 0.2500

Summary:
calculated volume = 25.43 A^3/atom
space-group type = F-43m, No. 216
total energy = -5.635 eV/atom
formation enthalpy at 0 K = 283.8 kJ/mol of formula units
calculated density = 8.8 g/cm³

Here is a relaxed structure of Gd2SO6 from OQMD. Energies are from PBE-GGA.

Lattice parameters (Å, degrees): 8.0082 12.8741 4.1545 90.00 90.00 90.00
Fractional positions:
1 Gd 0.1249 0.0802 0.2411
2 Gd 0.1249 0.4198 0.2411
3 Gd 0.3751 0.5802 0.7411
4 Gd 0.3751 0.9198 0.7411
5 Gd 0.6249 0.0802 0.2589
6 Gd 0.6249 0.4198 0.2589
7 Gd 0.8751 0.5802 0.7589
8 Gd 0.8751 0.9198 0.7589
9 S 0.1244 0.7500 0.3032
10 S 0.3756 0.2500 0.8032
11 S 0.6244 0.7500 0.1968
12 S 0.8756 0.2500 0.6968
13 O 0.0250 0.2500 0.4823
14 O 0.1244 0.6555 0.1033
15 O 0.1244 0.8445 0.1033
16 O 0.1251 0.0050 0.7331
17 O 0.1251 0.4950 0.7331
18 O 0.2245 0.2500 0.0141
19 O 0.2755 0.7500 0.5141
20 O 0.3749 0.5050 0.2331
21 O 0.3749 0.9950 0.2331
22 O 0.3756 0.1555 0.6033
23 O 0.3756 0.3445 0.6033
24 O 0.4750 0.7500 0.9823
25 O 0.5250 0.2500 0.0177
26 O 0.6244 0.6555 0.3967
27 O 0.6244 0.8445 0.3967
28 O 0.6251 0.0050 0.7669
29 O 0.6251 0.4950 0.7669
30 O 0.7245 0.2500 0.4859
31 O 0.7755 0.7500 0.9859
32 O 0.8749 0.5050 0.2669
33 O 0.8749 0.9950 0.2669
34 O 0.8756 0.1555 0.8967
35 O 0.8756 0.3445 0.8967
36 O 0.9750 0.7500 0.5177

Summary:
calculated volume = 11.90 A^3/atom
space-group type = Pnma, No. 62
total energy = -7.493 eV/atom
calculated density = 6.9 g/cm³

Here is a relaxed structure of Li2Zn2Ga2CoPd from OQMD. Energies are from PBE-GGA.

Lattice parameters (Å, degrees): 4.2193 4.2193 6.0083 90.00 90.00 90.00
Fractional positions:
1 Li 0.0000 0.0000 0.0000
2 Li 0.5000 0.5000 0.5000
3 Zn 0.0000 0.5000 0.7348
4 Zn 0.5000 0.0000 0.2652
5 Ga 0.0000 0.5000 0.2671
6 Ga 0.5000 0.0000 0.7329
7 Co 0.0000 0.0000 0.5000
8 Pd 0.5000 0.5000 0.0000

Summary:
calculated volume = 13.37 A^3/atom
space-group type = P-4m2, No. 115
total energy = -3.458 eV/atom
calculated density = 7.0 g/cm³

Here is a relaxed structure of Y3Ho2Ga3 from OQMD. Energies are from PBE-GGA.

Lattice parameters (Å, degrees): 6.9367 6.9367 4.9561 90.00 90.00 120.00
Fractional positions:
1 Y 0.0185 0.5093 0.0000
2 Y 0.4907 0.5093 0.0000
3 Y 0.4907 0.9815 0.0000
4 Ho 0.0000 0.0000 0.0000
5 Ho 0.6667 0.3333 0.5000
6 Ga 0.1829 0.3657 0.5000
7 Ga 0.1829 0.8171 0.5000
8 Ga 0.6343 0.8171 0.5000

Summary:
calculated volume = 25.82 A^3/atom
space-group type = P-6m2, No. 187
total energy = -4.936 eV/atom
calculated density = 6.5 g/cm³

Here is a relaxed structure of KGdLu from OQMD. Energies are from PBE-GGA.

Lattice parameters (Å, degrees): 8.2498 8.2498 8.2498 90.00 90.00 90.00
Fractional positions:
1 K 0.0000 0.0000 0.0000
2 K 0.0000 0.5000 0.5000
3 K 0.5000 0.0000 0.5000
4 K 0.5000 0.5000 0.0000
5 Gd 0.0000 0.0000 0.5000
6 Gd 0.0000 0.5000 0.0000
7 Gd 0.5000 0.0000 0.0000
8 Gd 0.5000 0.5000 0.5000
9 Lu 0.2500 0.2500 0.7500
10 Lu 0.2500 0.7500 0.2500
11 Lu 0.7500 0.2500 0.2500
12 Lu 0.7500 0.7500 0.7500

Summary:
calculated volume = 46.79 A^3/atom
space-group type = F-43m, No. 216
total energy = -2.261 eV/atom
calculated density = 4.4 g/cm³

Here is a relaxed structure of ZnAg2Os from OQMD. Energies are from PBE-GGA.

Lattice parameters (Å, degrees): 6.3438 6.3438 6.3438 90.00 90.00 90.00
Fractional positions:
1 Zn 0.0000 0.0000 0.0000
2 Zn 0.0000 0.5000 0.5000
3 Zn 0.5000 0.0000 0.5000
4 Zn 0.5000 0.5000 0.0000
5 Ag 0.0000 0.0000 0.5000
6 Ag 0.0000 0.5000 0.0000
7 Ag 0.2500 0.2500 0.2500
8 Ag 0.2500 0.7500 0.7500
9 Ag 0.5000 0.0000 0.0000
10 Ag 0.5000 0.5000 0.5000
11 Ag 0.7500 0.2500 0.7500
12 Ag 0.7500 0.7500 0.2500
13 Os 0.2500 0.2500 0.7500
14 Os 0.2500 0.7500 0.2500
15 Os 0.7500 0.2500 0.2500
16 Os 0.7500 0.7500 0.7500

Summary:
calculated volume = 15.96 A^3/atom
space-group type = F-43m, No. 216
total energy = -3.935 eV/atom
formation enthalpy at 0 K = 231.3 kJ/mol of formula units
calculated density = 12.3 g/cm³

Here is a relaxed structure of Sr2NbIrO6 from OQMD. Energies are from PBE-GGA.

Lattice parameters (Å, degrees): 5.6323 8.0241 5.6340 90.00 90.02 90.00
Fractional positions:
1 Sr 0.0148 0.2500 0.0141
2 Sr 0.4748 0.7500 0.4981
3 Sr 0.5252 0.2500 0.5019
4 Sr 0.9852 0.7500 0.9859
5 Nb 0.5000 0.0000 0.0000
6 Nb 0.5000 0.5000 0.0000
7 Ir 0.0000 0.0000 0.5000
8 Ir 0.0000 0.5000 0.5000
9 O 0.0369 0.7500 0.4078
10 O 0.2304 0.5230 0.7763
11 O 0.2304 0.9770 0.7763
12 O 0.2768 0.0341 0.2705
13 O 0.2768 0.4659 0.2705
14 O 0.4980 0.7500 0.0532
15 O 0.5020 0.2500 0.9468
16 O 0.7232 0.5341 0.7295
17 O 0.7232 0.9659 0.7295
18 O 0.7696 0.0230 0.2237
19 O 0.7696 0.4770 0.2237
20 O 0.9631 0.2500 0.5922

Summary:
calculated volume = 12.73 A^3/atom
space-group type = P2_1/m, No. 11
total energy = -7.481 eV/atom
calculated density = 7.3 g/cm³

Here is a relaxed structure of TbYTeC from OQMD. Energies are from PBE-GGA.

Lattice parameters (Å, degrees): 3.8483 3.8483 14.0846 90.00 90.00 120.00
Fractional positions:
1 Tb 0.0000 0.0000 0.1567
2 Tb 0.0000 0.0000 0.8433
3 Y 0.3333 0.6667 0.3439
4 Y 0.3333 0.6667 0.6561
5 Te 0.0000 0.0000 0.5000
6 Te 0.3333 0.6667 0.0000
7 C 0.6667 0.3333 0.2502
8 C 0.6667 0.3333 0.7498

Summary:
calculated volume = 22.58 A^3/atom
space-group type = P-6m2, No. 187
total energy = -6.738 eV/atom
calculated density = 7.1 g/cm³

Here is a relaxed structure of Ba2Li3NiGe2 from OQMD. Energies are from PBE-GGA.

Lattice parameters (Å, degrees): 6.0478 4.3984 6.9872 90.00 90.69 90.00
Fractional positions:
1 Ba 0.0000 0.0000 0.0000
2 Ba 0.2294 0.5000 0.5308
3 Li 0.5201 0.0000 0.2171
4 Li 0.5258 0.0000 0.8183
5 Li 0.7191 0.5000 0.3353
6 Ni 0.7107 0.5000 0.7030
7 Ge 0.4938 0.5000 0.0020
8 Ge 0.7877 0.0000 0.5387

Summary:
calculated volume = 23.23 A^3/atom
space-group type = Pm, No. 6
total energy = -3.389 eV/atom
calculated density = 4.5 g/cm³

Here is a relaxed structure of NbZnFeHg from OQMD. Energies are from PBE-GGA.

Lattice parameters (Å, degrees): 6.4076 6.4076 6.4076 90.00 90.00 90.00
Fractional positions:
1 Nb 0.0000 0.0000 0.0000
2 Nb 0.0000 0.5000 0.5000
3 Nb 0.5000 0.0000 0.5000
4 Nb 0.5000 0.5000 0.0000
5 Zn 0.2500 0.2500 0.2500
6 Zn 0.2500 0.7500 0.7500
7 Zn 0.7500 0.2500 0.7500
8 Zn 0.7500 0.7500 0.2500
9 Fe 0.0000 0.0000 0.5000
10 Fe 0.0000 0.5000 0.0000
11 Fe 0.5000 0.0000 0.0000
12 Fe 0.5000 0.5000 0.5000
13 Hg 0.2500 0.2500 0.7500
14 Hg 0.2500 0.7500 0.2500
15 Hg 0.7500 0.2500 0.2500
16 Hg 0.7500 0.7500 0.7500

Summary:
calculated volume = 16.44 A^3/atom
space-group type = F-43m, No. 216
total energy = -4.618 eV/atom
formation enthalpy at 0 K = 144.1 kJ/mol of formula units
calculated density = 10.5 g/cm³

Here is a relaxed structure of RbZrAgTeSe2 from OQMD. Energies are from PBE-GGA.

Lattice parameters (Å, degrees): 8.8028 4.0969 10.3780 90.00 111.88 90.00
Fractional positions:
1 Rb 0.2283 0.2500 0.2043
2 Rb 0.7717 0.7500 0.7957
3 Zr 0.1828 0.7500 0.6614
4 Zr 0.8172 0.2500 0.3386
5 Ag 0.4223 0.2500 0.8936
6 Ag 0.5777 0.7500 0.1064
7 Te 0.4041 0.2500 0.6229
8 Te 0.5959 0.7500 0.3771
9 Se 0.0352 0.7500 0.3697
10 Se 0.2401 0.7500 0.9319
11 Se 0.7599 0.2500 0.0681
12 Se 0.9648 0.2500 0.6303

Summary:
calculated volume = 28.94 A^3/atom
space-group type = P2_1/m, No. 11
total energy = -4.730 eV/atom
calculated density = 5.5 g/cm³

Here is a relaxed structure of Sm2ErSb3 from OQMD. Energies are from PBE-GGA.

Lattice parameters (Å, degrees): 4.4308 4.4308 10.8326 90.00 90.00 120.00
Fractional positions:
1 Sm 0.3333 0.6667 0.3311
2 Sm 0.6667 0.3333 0.6689
3 Er 0.0000 0.0000 0.0000
4 Sb 0.0000 0.0000 0.5000
5 Sb 0.3333 0.6667 0.8397
6 Sb 0.6667 0.3333 0.1603

Summary:
calculated volume = 30.70 A^3/atom
space-group type = P-3m1, No. 164
total energy = -5.542 eV/atom
calculated density = 7.5 g/cm³

Here is a relaxed structure of PdBr2 from OQMD. Energies are from PBE-GGA.

Lattice parameters (Å, degrees): 5.9832 5.9832 5.9832 60.00 60.00 60.00
Fractional positions:
1 Pd 0.1250 0.1250 0.1250
2 Pd 0.8750 0.8750 0.8750
3 Br 0.0000 0.5000 0.5000
4 Br 0.5000 0.0000 0.5000
5 Br 0.5000 0.5000 0.0000
6 Br 0.5000 0.5000 0.5000

Summary:
calculated volume = 25.24 A^3/atom
space-group type = Fd-3m, No. 227
total energy = -1.831 eV/atom
calculated density = 5.8 g/cm³

Here is a relaxed structure of LuGeTeAuS2 from OQMD. Energies are from PBE-GGA.

Lattice parameters (Å, degrees): 7.0523 7.0523 11.2399 90.00 90.00 147.47
Fractional positions:
1 Lu 0.0000 0.0000 0.0000
2 Lu 0.0000 0.0000 0.5000
3 Ge 0.2451 0.7549 0.7500
4 Ge 0.7549 0.2451 0.2500
5 Te 0.1073 0.8927 0.2500
6 Te 0.8927 0.1073 0.7500
7 Au 0.4180 0.5820 0.2500
8 Au 0.5820 0.4180 0.7500
9 S 0.3723 0.6277 0.0462
10 S 0.3723 0.6277 0.4538
11 S 0.6277 0.3723 0.5462
12 S 0.6277 0.3723 0.9538

Summary:
calculated volume = 25.05 A^3/atom
space-group type = Cmcm, No. 63
total energy = -4.654 eV/atom
calculated density = 7.0 g/cm³

Here is a relaxed structure of NdCl2 from OQMD. Energies are from PBE-GGA.

Lattice parameters (Å, degrees): 20.5730 20.5730 20.5730 10.80 10.80 10.80
Fractional positions:
1 Nd 0.0000 0.0000 0.0000
2 Nd 0.4444 0.4444 0.4444
3 Nd 0.5556 0.5556 0.5556
4 Cl 0.1395 0.1395 0.1395
5 Cl 0.2506 0.2506 0.2506
6 Cl 0.3618 0.3618 0.3618
7 Cl 0.6382 0.6382 0.6382
8 Cl 0.7494 0.7494 0.7494
9 Cl 0.8605 0.8605 0.8605

Summary:
calculated volume = 29.51 A^3/atom
space-group type = R-3m, No. 166
total energy = -4.777 eV/atom
calculated density = 4.0 g/cm³

Here is a relaxed structure of Nb2FeN from OQMD. Energies are from PBE-GGA.

Lattice parameters (Å, degrees): 3.0669 3.0669 12.9715 90.00 90.00 120.00
Fractional positions:
1 Nb 0.3333 0.6667 0.0986
2 Nb 0.3333 0.6667 0.4014
3 Nb 0.6667 0.3333 0.5986
4 Nb 0.6667 0.3333 0.9014
5 Fe 0.3333 0.6667 0.7500
6 Fe 0.6667 0.3333 0.2500
7 N 0.0000 0.0000 0.0000
8 N 0.0000 0.0000 0.5000

Summary:
calculated volume = 13.21 A^3/atom
space-group type = P6_3/mmc, No. 194
total energy = -9.550 eV/atom
calculated density = 8.0 g/cm³

Here is a relaxed structure of Zr3PbN2 from OQMD. Energies are from PBE-GGA.

Lattice parameters (Å, degrees): 3.2763 3.2763 20.5468 90.00 90.00 120.00
Fractional positions:
1 Zr 0.0000 0.0000 0.0000
2 Zr 0.0000 0.0000 0.5000
3 Zr 0.3333 0.6667 0.1280
4 Zr 0.3333 0.6667 0.3720
5 Zr 0.6667 0.3333 0.6280
6 Zr 0.6667 0.3333 0.8720
7 Pb 0.0000 0.0000 0.2500
8 Pb 0.0000 0.0000 0.7500
9 N 0.3333 0.6667 0.5639
10 N 0.3333 0.6667 0.9361
11 N 0.6667 0.3333 0.0639
12 N 0.6667 0.3333 0.4361

Summary:
calculated volume = 15.92 A^3/atom
space-group type = P6_3/mmc, No. 194
total energy = -8.854 eV/atom
calculated density = 8.8 g/cm³

Here is a relaxed structure of Be2IrPt from OQMD. Energies are from PBE-GGA.

Lattice parameters (Å, degrees): 3.9778 3.9778 2.8325 90.00 90.00 90.00
Fractional positions:
1 Be 0.0000 0.5000 0.0000
2 Be 0.5000 0.0000 0.0000
3 Ir 0.0000 0.0000 0.5000
4 Pt 0.5000 0.5000 0.5000

Summary:
calculated volume = 11.20 A^3/atom
space-group type = P4/mmm, No. 123
total energy = -6.309 eV/atom
calculated density = 15.0 g/cm³